Entry from the Alexandria database: crystalline YV3Pd at its relaxed geometry (PBE).

Structure (CIF):
```
data_YV3Pd
_chemical_formula_sum 'Y1 V3 Pd1'
_cell_length_a 4.7435
_cell_length_b 4.7435
_cell_length_c 4.7435
_cell_angle_alpha 90.00
_cell_angle_beta 90.00
_cell_angle_gamma 90.00
_symmetry_space_group_name_H-M 'P m -3 m'
_symmetry_Int_Tables_number 221
_symmetry_space_group_name_Hall '-P 4 2 3'
loop_
_atom_site_label
_atom_site_fract_x
_atom_site_fract_y
_atom_site_fract_z
Y1 0.0000 0.0000 0.0000
V1 0.0000 0.5000 0.5000
Pd1 0.5000 0.5000 0.5000
```

***

Entry from the Alexandria database: crystalline Y2VPd2 at its relaxed geometry (PBE).

Structure (CIF):
```
data_Y2VPd2
_chemical_formula_sum 'Y4 V2 Pd4'
_cell_length_a 7.3661
_cell_length_b 7.3661
_cell_length_c 4.0015
_cell_angle_alpha 90.00
_cell_angle_beta 90.00
_cell_angle_gamma 90.00
_symmetry_space_group_name_H-M 'P 4/m b m'
_symmetry_Int_Tables_number 127
_symmetry_space_group_name_Hall '-P 4 2ab'
loop_
_atom_site_label
_atom_site_fract_x
_atom_site_fract_y
_atom_site_fract_z
Y1 0.1736 0.3264 0.0000
V1 0.0000 0.0000 0.5000
Pd1 0.1322 0.6322 0.5000
```

***

| no. | energy relative to the lowest polymorph listed for this composition (kJ/mol of atoms) | magnetization (μB/cell) | DFT formation energy (eV per atom) |
| --- | --- | --- | --- |
| 1 | 0.0 | 4.8 | 0.880 |
| 2 | 0.0 | 6.7 | -0.447 |